A relaxed Li4AlTl3 crystal, computed with PBE.

Cell: 6.948 6.938 7.388 Å, 90.00 118.04 90.00°
Space group C2/m (No. 12)
Asymmetric unit:
1 Li 0.131 0.249 0.259 (multiplicity 8)
2 Al 0.000 0.500 0.500 (multiplicity 2)
3 Tl 0.000 0.000 0.500 (multiplicity 2)
4 Tl 0.240 0.500 0.981 (multiplicity 4)

Computed properties:
Density of states at the Fermi level: 0.3839 states/eV per atom
Size of the total moment: 0.00 μB/f.u.
Electronic total energy: -39.632 eV per cell